This record from Alexandria describes Y2UBiO8 after structural relaxation. The functional is PBE.

The calculation puts the density of states at the Fermi level at 2.9 states/eV/f.u. The uncorrected formation energy is -63.670 kcal/mol of atoms. The raw total energy comes out at -8.4079 eV/atom. The calculation puts the size of the total moment at 0.00 μB/f.u.

It has space group P2/m (No. 10), with a = 5.0975 Å, b = 7.1047 Å, c = 5.0989 Å, α = 90.00°, β = 91.94° and γ = 90.00°. Symmetry generates all atoms from Y at (0.0000, 0.2487, 0.0000), U at (0.5000, 0.0000, 0.5000), Bi at (0.5000, 0.5000, 0.5000), O at (0.1905, 0.5000, 0.1918), O at (0.2075, 0.0000, 0.2095) and O at (0.3150, 0.2303, 0.6868).

This record from Alexandria describes UZnBiO6 after structural relaxation. The functional is PBE.

The calculation puts the density of states at the Fermi level at 3.1 states/eV/f.u. The uncorrected formation energy is -45.104 kcal/mol of atoms. The raw total energy comes out at -7.0884 eV/atom. The calculation puts the size of the total moment at 0.00 μB/f.u.

It has space group P-31c (No. 163), with a = 5.4273 Å, b = 5.4273 Å, c = 9.8924 Å, α = 90.00°, β = 90.00° and γ = 120.00°. Symmetry generates all atoms from U at (0.3333, 0.6667, 0.2500), Zn at (0.3333, 0.6667, 0.7500), Bi at (0.0000, 0.0000, 0.0000) and O at (0.0056, 0.3494, 0.1350).

This record from Alexandria describes UZn2BiO8 after structural relaxation. The functional is PBE.

The calculation puts the density of states at the Fermi level at 9.7 states/eV/f.u. The uncorrected formation energy is -35.654 kcal/mol of atoms. The raw total energy comes out at -6.3280 eV/atom. The calculation puts the size of the total moment at 0.00 μB/f.u.

It has space group I-4m2 (No. 119), with a = 6.6849 Å, b = 6.6849 Å, c = 7.1404 Å, α = 90.00°, β = 90.00° and γ = 90.00°. Symmetry generates all atoms from U at (0.0000, 0.0000, 0.0000), Zn at (0.0000, 0.0000, 0.5000), Zn at (0.0000, 0.5000, 0.7500), Bi at (0.0000, 0.5000, 0.2500), O at (0.0000, 0.1837, 0.2920) and O at (0.0000, 0.3036, 0.9534).

This record from Alexandria describes ZrUBiO6 after structural relaxation. The functional is PBE.

The calculation puts the density of states at the Fermi level at 0.3 states/eV/f.u. The uncorrected formation energy is -61.434 kcal/mol of atoms. The raw total energy comes out at -8.6048 eV/atom. The calculation puts the size of the total moment at 1.00 μB/f.u.

It has space group P-31c (No. 163), with a = 5.7222 Å, b = 5.7222 Å, c = 9.6913 Å, α = 90.00°, β = 90.00° and γ = 120.00°. Symmetry generates all atoms from Zr at (0.3333, 0.6667, 0.2500), U at (0.3333, 0.6667, 0.7500), Bi at (0.0000, 0.0000, 0.0000) and O at (0.0034, 0.3564, 0.1372).